A plane-wave DFT calculation with GGA-PBE was carried out for crystalline Sr2NiAg2 at its relaxed geometry.

```
Sr2NiAg2
1.0
-2.4292 5.6809 -4.3807
-5.2427 1.7510 5.1780
2.9903 2.8660 2.0584
Sr Ag Ni
4 4 2
direct
0.1789 0.6789 0.5000
0.6789 0.8211 0.5000
0.8211 0.3211 0.5000
0.3211 0.1789 0.5000
0.3673 0.8673 0.0000
0.8673 0.6327 0.0000
0.6327 0.1327 0.0000
0.1327 0.3673 0.0000
0.0000 0.0000 0.0000
0.5000 0.5000 0.0000
```

Properties
Energy above the lowest structure with this stoichiometry: 0 kJ/mol of formula units
D(E_F): 0.73 states/eV/atom
DFT formation energy: 19 meV/atom

A plane-wave DFT calculation with GGA-PBE was carried out for crystalline TlGa2Ru2 at its relaxed geometry.

```
TlGa2Ru2
1.0
-4.7888 1.1788 5.2610
-4.0238 -5.4649 -2.4381
1.5715 -1.9947 1.8774
Ru Tl Ga
4 2 4
direct
0.3500 0.8500 0.0000
0.8500 0.6500 0.0000
0.6500 0.1500 0.0000
0.1500 0.3500 0.0000
0.0000 0.0000 0.0000
0.5000 0.5000 0.0000
0.1431 0.6431 0.5000
0.6431 0.8569 0.5000
0.8569 0.3569 0.5000
0.3569 0.1431 0.5000
```

Properties
Energy above the lowest structure with this stoichiometry: 0 kJ/mol of formula units
D(E_F): 0.46 states/eV/atom
DFT formation energy: -50 meV/atom

A plane-wave DFT calculation with GGA-PBE was carried out for crystalline K12Rb3O5 at its relaxed geometry.

```
K12Rb3O5
1.0
-8.6230 13.1605 -4.0240
3.0695 -8.7464 -13.3351
-8.4586 -8.9975 10.5472
Rb O K
12 20 48
direct
0.7500 0.3750 0.1250
0.8750 0.7500 0.1250
0.3750 0.7500 0.6250
0.2500 0.1250 0.3750
0.8750 0.1250 0.2500
0.3750 0.6250 0.2500
0.6250 0.3750 0.7500
0.1250 0.8750 0.7500
0.7500 0.8750 0.6250
0.6250 0.2500 0.3750
0.1250 0.2500 0.8750
0.2500 0.6250 0.8750
0.1250 0.3750 0.2500
0.0000 0.5000 0.0000
0.0000 0.0000 0.0000
0.3750 0.2500 0.1250
0.5000 0.0000 0.5000
0.5000 0.5000 0.0000
0.1250 0.7500 0.3750
0.7500 0.1250 0.8750
0.7500 0.6250 0.3750
0.3750 0.1250 0.7500
0.6250 0.8750 0.2500
0.5000 0.5000 0.5000
0.5000 0.0000 0.0000
0.0000 0.0000 0.5000
0.2500 0.3750 0.6250
0.2500 0.8750 0.1250
0.0000 0.5000 0.5000
0.8750 0.2500 0.6250
0.6250 0.7500 0.8750
0.8750 0.6250 0.7500
0.6674 0.0871 0.9764
0.3090 0.4764 0.3893
0.0236 0.4129 0.3326
0.4764 0.1674 0.0871
0.5803 0.6674 0.6910
0.0236 0.6107 0.1910
0.3090 0.8326 0.4197
0.1107 0.9197 0.0871
0.6107 0.0236 0.6910
0.6674 0.5803 0.1910
0.8326 0.5236 0.4129
0.8090 0.8893 0.9764
0.0871 0.6674 0.4764
0.4129 0.3893 0.0803
0.0803 0.8893 0.4129
0.4197 0.0871 0.6107
0.0803 0.1910 0.1674
0.5236 0.6910 0.1107
0.8090 0.9197 0.3326
0.0871 0.4197 0.1107
0.4129 0.0236 0.8326
0.6107 0.5871 0.4197
0.8893 0.8090 0.4764
0.8326 0.3090 0.9197
0.3893 0.4129 0.5803
0.1107 0.1910 0.5236
0.1674 0.6910 0.0803
0.1910 0.0803 0.6674
0.5871 0.9764 0.1674
0.9129 0.5803 0.8893
0.4764 0.3090 0.8893
0.5803 0.9129 0.3893
0.9197 0.8090 0.8326
0.9197 0.1107 0.5871
0.9129 0.3326 0.5236
0.1910 0.1107 0.0236
0.5871 0.6107 0.9197
0.3893 0.9764 0.3090
0.3326 0.4197 0.8090
0.1674 0.4764 0.5871
0.8893 0.0803 0.9129
0.6910 0.1674 0.5803
0.5236 0.8326 0.9129
0.9764 0.3893 0.8090
0.4197 0.3326 0.3090
0.9764 0.5871 0.6674
0.6910 0.5236 0.6107
0.3326 0.9129 0.0236
```

Properties
D(E_F): 0.38 states/eV/atom
Electronic total energy: -2.6193 eV/atom

A plane-wave DFT calculation with GGA-PBE was carried out for crystalline La8Tb3Pm2 at its relaxed geometry.

```
La8Tb3Pm2
1.0
6.1488 0.7432 0.4371
-0.8325 10.3330 -5.8587
2.3648 -1.8105 8.5715
La Tb Pm
8 3 2
direct
0.7431 0.4168 0.8335
0.2569 0.5832 0.1665
0.1117 0.8617 0.7234
0.8883 0.1383 0.2766
0.3449 0.9261 0.3274
0.3449 0.4013 0.3274
0.6551 0.5987 0.6726
0.6551 0.0739 0.6726
0.5000 0.0000 0.0000
0.0000 0.2680 0.0000
0.0000 0.7320 0.0000
0.6687 0.6882 0.3764
0.3313 0.3118 0.6236
```

Properties
Energy above the lowest structure with this stoichiometry: 0 kJ/mol of formula units
D(E_F): 1.63 states/eV/atom
DFT formation energy: 140 meV/atom

A plane-wave DFT calculation with GGA-PBE was carried out for crystalline Cs3AcF6 at its relaxed geometry.

```
Cs3AcF6
1.0
-1.1087 0.8394 -7.0475
-3.2029 -6.6830 -0.2920
-9.1074 4.2868 1.7859
Cs Ac F
6 2 12
direct
0.5146 0.9545 0.7557
0.5000 0.5000 0.0000
0.4854 0.0455 0.2443
0.0146 0.5455 0.2557
0.0000 0.0000 0.5000
0.9854 0.4545 0.7443
0.5000 0.5000 0.5000
0.0000 0.0000 0.0000
0.7253 0.1748 0.9516
0.6697 0.2368 0.5743
0.6149 0.4371 0.2802
0.3851 0.5629 0.7198
0.3303 0.7632 0.4257
0.2747 0.8252 0.0484
0.2253 0.3252 0.4516
0.1697 0.2632 0.0743
0.1149 0.0629 0.7802
0.8851 0.9371 0.2198
0.8303 0.7368 0.9257
0.7747 0.6748 0.5484
```

Properties
D(E_F): 0.00 states/eV/atom
Electronic total energy: -5.0907 eV/atom

A plane-wave DFT calculation with GGA-PBE was carried out for crystalline PmCdGaRh at its relaxed geometry.

```
PmCdGaRh
1.0
4.8693 0.0000 0.0000
2.4346 4.2169 0.0000
2.4346 1.4056 3.9758
Cd Rh Ga Pm
1 1 1 1
direct
0.7500 0.7500 0.7500
0.5000 0.5000 0.5000
0.0000 0.0000 0.0000
0.2500 0.2500 0.2500
```

Properties
D(E_F): 0.75 states/eV/atom
DFT formation energy: -373 meV/atom

Copy entry 3 word for word.
A plane-wave DFT calculation with GGA-PBE was carried out for crystalline K12Rb3O5 at its relaxed geometry.

```
K12Rb3O5
1.0
-8.6230 13.1605 -4.0240
3.0695 -8.7464 -13.3351
-8.4586 -8.9975 10.5472
Rb O K
12 20 48
direct
0.7500 0.3750 0.1250
0.8750 0.7500 0.1250
0.3750 0.7500 0.6250
0.2500 0.1250 0.3750
0.8750 0.1250 0.2500
0.3750 0.6250 0.2500
0.6250 0.3750 0.7500
0.1250 0.8750 0.7500
0.7500 0.8750 0.6250
0.6250 0.2500 0.3750
0.1250 0.2500 0.8750
0.2500 0.6250 0.8750
0.1250 0.3750 0.2500
0.0000 0.5000 0.0000
0.0000 0.0000 0.0000
0.3750 0.2500 0.1250
0.5000 0.0000 0.5000
0.5000 0.5000 0.0000
0.1250 0.7500 0.3750
0.7500 0.1250 0.8750
0.7500 0.6250 0.3750
0.3750 0.1250 0.7500
0.6250 0.8750 0.2500
0.5000 0.5000 0.5000
0.5000 0.0000 0.0000
0.0000 0.0000 0.5000
0.2500 0.3750 0.6250
0.2500 0.8750 0.1250
0.0000 0.5000 0.5000
0.8750 0.2500 0.6250
0.6250 0.7500 0.8750
0.8750 0.6250 0.7500
0.6674 0.0871 0.9764
0.3090 0.4764 0.3893
0.0236 0.4129 0.3326
0.4764 0.1674 0.0871
0.5803 0.6674 0.6910
0.0236 0.6107 0.1910
0.3090 0.8326 0.4197
0.1107 0.9197 0.0871
0.6107 0.0236 0.6910
0.6674 0.5803 0.1910
0.8326 0.5236 0.4129
0.8090 0.8893 0.9764
0.0871 0.6674 0.4764
0.4129 0.3893 0.0803
0.0803 0.8893 0.4129
0.4197 0.0871 0.6107
0.0803 0.1910 0.1674
0.5236 0.6910 0.1107
0.8090 0.9197 0.3326
0.0871 0.4197 0.1107
0.4129 0.0236 0.8326
0.6107 0.5871 0.4197
0.8893 0.8090 0.4764
0.8326 0.3090 0.9197
0.3893 0.4129 0.5803
0.1107 0.1910 0.5236
0.1674 0.6910 0.0803
0.1910 0.0803 0.6674
0.5871 0.9764 0.1674
0.9129 0.5803 0.8893
0.4764 0.3090 0.8893
0.5803 0.9129 0.3893
0.9197 0.8090 0.8326
0.9197 0.1107 0.5871
0.9129 0.3326 0.5236
0.1910 0.1107 0.0236
0.5871 0.6107 0.9197
0.3893 0.9764 0.3090
0.3326 0.4197 0.8090
0.1674 0.4764 0.5871
0.8893 0.0803 0.9129
0.6910 0.1674 0.5803
0.5236 0.8326 0.9129
0.9764 0.3893 0.8090
0.4197 0.3326 0.3090
0.9764 0.5871 0.6674
0.6910 0.5236 0.6107
0.3326 0.9129 0.0236
```

Properties
D(E_F): 0.38 states/eV/atom
Electronic total energy: -2.6193 eV/atom